No. 1
VASP calculation (GGA-PBE) on an optimized crystal structure of HoTm5Ir6.

Properties
total magnetic moment = 0.00 Bohr magnetons per cell
ΔH_f (0 K) = -0.907 eV/atom

Cell: 4.6697 7.0910 7.3966 Å, 90.00 71.53 90.00°
Fractional coordinates of all 12 atoms:
1 Tm 0.6667 0.5000 0.6665
2 Tm 0.3330 0.0000 0.3339
3 Tm 0.0000 0.5000 0.0000
4 Tm 0.6670 0.0000 0.6661
5 Tm 0.3333 0.5000 0.3335
6 Ho 0.0000 0.0000 0.0000
7 Ir 0.8329 0.7492 0.3342
8 Ir 0.8329 0.2508 0.3342
9 Ir 0.5000 0.2516 0.0000
10 Ir 0.5000 0.7484 0.0000
11 Ir 0.1671 0.7492 0.6658
12 Ir 0.1671 0.2508 0.6658

***

No. 2
VASP calculation (GGA-PBE) on an optimized crystal structure of PrSn2Pt3.

Properties
total magnetic moment = 0.00 Bohr magnetons per cell
ΔH_f (0 K) = -0.580 eV/atom

Cell: 4.1131 4.1131 9.2182 Å, 102.89 102.89 90.00°
Fractional coordinates of all 6 atoms:
1 Pr 0.0000 0.0000 0.0000
2 Sn 0.6505 0.6505 0.3011
3 Sn 0.3495 0.3495 0.6989
4 Pt 0.7500 0.2500 0.5000
5 Pt 0.5000 0.5000 0.0000
6 Pt 0.2500 0.7500 0.5000

***

No. 3
VASP calculation (GGA-PBE) on an optimized crystal structure of Pr2Ga2Ag3.

Properties
total magnetic moment = 0.00 Bohr magnetons per cell
ΔH_f (0 K) = -0.306 eV/atom

Cell: 3.7806 4.2761 10.1790 Å, 102.13 90.00 90.00°
Fractional coordinates of all 7 atoms:
1 Pr 0.0000 0.8429 0.6858
2 Pr 0.0000 0.1571 0.3142
3 Ga 0.5000 0.7138 0.4276
4 Ga 0.5000 0.2862 0.5724
5 Ag 0.5000 0.5686 0.1373
6 Ag 0.5000 0.4314 0.8627
7 Ag 0.0000 0.0000 0.0000